1.
The following is a SCAN calculation of CdInP at its PBEsol-relaxed geometry, from Alexandria via LeMat-Bulk.

Geometry as POSCAR:
```
CdInP
1.0
0.000 3.279 3.279
3.279 0.000 3.279
3.279 3.279 0.000
Cd In P
1 1 1
Direct
0.000 0.000 0.000
0.750 0.750 0.750
0.250 0.250 0.250
```

spin magnetization = 0.00 μB per cell

2.
The following is a SCAN calculation of Cd2InP at its PBEsol-relaxed geometry, from Alexandria via LeMat-Bulk.

Geometry as POSCAR:
```
Cd2InP
1.0
0.000 3.493 3.493
3.493 0.000 3.493
3.493 3.493 0.000
Cd In P
2 1 1
Direct
0.000 0.000 0.000
0.250 0.250 0.250
0.750 0.750 0.750
0.500 0.500 0.500
```

spin magnetization = 0.00 μB per cell

3.
The following is a SCAN calculation of CdIn3P at its PBEsol-relaxed geometry, from Alexandria via LeMat-Bulk.

Geometry as POSCAR:
```
CdIn3P
1.0
5.204 0.000 0.000
0.000 5.204 0.000
0.000 0.000 5.204
Cd In P
1 3 1
Direct
0.000 0.000 0.000
0.000 0.500 0.500
0.500 0.000 0.500
0.500 0.500 0.000
0.500 0.500 0.500
```

spin magnetization = 0.00 μB per cell

4.
The following is a SCAN calculation of CdIn2Pb at its PBEsol-relaxed geometry, from Alexandria via LeMat-Bulk.

Geometry as POSCAR:
```
CdIn2Pb
1.0
-1.797 2.648 5.394
1.797 -2.648 5.394
1.797 2.648 -5.394
Cd In Pb
1 2 1
Direct
0.000 0.000 0.000
0.237 0.737 0.500
0.763 0.263 0.500
0.500 0.500 0.000
```

spin magnetization = 0.00 μB per cell

Which theoretical density belongs to each record? In order, 6.1 7.2 5.7 8.9 g cm⁻³.
Which ΔE_f belongs to each record? In order, 294 319 399 94 meV/atom.